1.
K2HgWS4: optimized geometry, PBE.

a = 7.1906 Å, b = 7.1906 Å, c = 7.1906 Å
α = 114.23°, β = 107.14°, γ = 107.14°
Atoms (fractional coordinates):
1 K 0.5000 0.7500 0.2500
2 K 0.0000 0.0000 0.0000
3 Hg 0.5000 0.2500 0.7500
4 W 0.0000 0.5000 0.5000
5 S 0.7006 0.5241 0.5012
6 S 0.9772 0.1765 0.4759
7 S 0.0228 0.4988 0.1993
8 S 0.2994 0.8007 0.8235

Computed properties:
formation energy from raw total energies = -0.79 eV/atom
E_tot = -38.26 eV/cell

2.
PmGaOs: optimized geometry, PBE.

a = 3.8339 Å, b = 4.3665 Å, c = 4.3665 Å
α = 120.00°, β = 90.00°, γ = 90.00°
Atoms (fractional coordinates):
1 Os 0.1666 0.0000 0.0000
2 Ga 0.1667 0.6667 0.3333
3 Pm 0.6667 0.3333 0.6667

Computed properties:
E_form = -0.69 eV per formula unit
E_tot = -19.69 eV/cell
distance to the lowest polymorph of the same formula = 109.3 meV/atom

3.
NaHfZn2: optimized geometry, PBE.

a = 3.1473 Å, b = 4.9210 Å, c = 4.9210 Å
α = 90.00°, β = 90.00°, γ = 90.00°
Atoms (fractional coordinates):
1 Na 0.5000 0.5000 0.5000
2 Zn 0.0000 0.0000 0.5000
3 Zn 0.0000 0.5000 0.0000
4 Hf 0.5000 0.0000 0.0000

Computed properties:
E_form = 0.14 eV per formula unit
E_tot = -13.68 eV/cell
distance to the lowest polymorph of the same formula = 24.3 meV/atom

4.
Mg3GaPd6: optimized geometry, PBE.

a = 7.3111 Å, b = 7.3111 Å, c = 7.3111 Å
α = 106.53°, β = 106.53°, γ = 106.53°
Atoms (fractional coordinates):
1 Mg 0.5236 0.9217 0.7966
2 Mg 0.9217 0.7966 0.5236
3 Mg 0.2034 0.4764 0.0783
4 Mg 0.7966 0.5236 0.9217
5 Mg 0.0783 0.2034 0.4764
6 Mg 0.4764 0.0783 0.2034
7 Ga 0.0000 0.0000 0.0000
8 Ga 0.5000 0.5000 0.5000
9 Pd 0.1535 0.7365 0.8676
10 Pd 0.2635 0.1324 0.8465
11 Pd 0.5225 0.8154 0.4064
12 Pd 0.1324 0.8465 0.2635
13 Pd 0.4064 0.5225 0.8154
14 Pd 0.1846 0.5936 0.4775
15 Pd 0.8154 0.4064 0.5225
16 Pd 0.5936 0.4775 0.1846
17 Pd 0.8676 0.1535 0.7365
18 Pd 0.4775 0.1846 0.5936
19 Pd 0.7365 0.8676 0.1535
20 Pd 0.8465 0.2635 0.1324

Computed properties:
E_form = -5.86 eV per formula unit
E_tot = -89.66 eV/cell
distance to the lowest polymorph of the same formula = 67.5 meV/atom

5.
LiAg4Te: optimized geometry, PBE.

a = 5.6117 Å, b = 5.6117 Å, c = 5.6117 Å
α = 60.00°, β = 60.00°, γ = 60.00°
Atoms (fractional coordinates):
1 Li 0.7500 0.7500 0.7500
2 Ag 0.8726 0.3758 0.3758
3 Ag 0.3758 0.3758 0.8726
4 Ag 0.3758 0.8726 0.3758
5 Ag 0.3758 0.3758 0.3758
6 Te 0.0000 0.0000 0.0000

Computed properties:
formation energy from raw total energies = -0.06 eV/atom
E_tot = -16.83 eV/cell

6.
YTe2Ru: optimized geometry, PBE.

a = 3.5389 Å, b = 3.5389 Å, c = 7.2211 Å
α = 90.00°, β = 90.00°, γ = 90.00°
Site moments in Bohr magnetons follow the coordinates.
Atoms (fractional coordinates):
1 Ru 0.5000 0.5000 0.7500  0.79
2 Te 0.0000 0.0000 0.9753  0.02
3 Te 0.0000 0.0000 0.5247  0.02
4 Y 0.5000 0.5000 0.2500  0.10

Computed properties:
formation energy from raw total energies = -0.17 eV/atom
E_tot = -22.72 eV/cell
distance to the lowest polymorph of the same formula = 342.0 meV/atom